[1]
CaLaGaIr | PBE | relaxed

```
CaLaGaIr
1.0
5.092 0.000 0.000
2.546 4.410 0.000
2.546 1.470 4.157
Ca Ir Ga La
1 1 1 1
Direct
0.500 0.500 0.500
0.250 0.250 0.250
0.750 0.750 0.750
0.000 0.000 0.000
```

crystal system = cubic
symmetry = F-43m
energy of formation = -455.1 meV per atom

[2]
LiGaAgIr | PBE | relaxed

```
LiGaAgIr
1.0
4.335 0.000 0.000
2.167 3.754 0.000
2.167 1.251 3.539
Ir Ga Ag Li
1 1 1 1
Direct
0.750 0.750 0.750
0.500 0.500 0.500
0.250 0.250 0.250
0.000 0.000 0.000
```

crystal system = cubic
symmetry = F-43m
energy of formation = -230.7 meV per atom

[3]
CoSb2Rh | PBE | relaxed

```
CoSb2Rh
1.0
-3.310 -4.101 -1.669
1.438 -5.293 0.693
-0.276 4.686 2.919
Co Rh Sb
1 1 2
Direct
0.500 0.500 0.000
0.750 0.250 0.500
0.000 0.000 0.000
0.250 0.750 0.500
```

crystal system = tetragonal
symmetry = I-4m2
uncorrected formation energy = 0.1663 eV per atom

[4]
Pm7Cu2Ag2 | PBE | relaxed

```
Pm7Cu2Ag2
1.0
0.269 1.952 -6.538
6.479 -3.412 -0.752
-3.119 -6.048 0.571
Pm Cu Ag
7 2 2
Direct
0.000 0.267 0.500
0.500 0.733 0.000
0.000 0.733 0.500
0.500 0.267 0.000
0.000 0.000 0.000
0.500 0.750 0.500
0.500 0.250 0.500
0.705 0.000 0.295
0.295 0.000 0.705
0.825 0.500 0.825
0.175 0.500 0.175
```

crystal system = orthorhombic
symmetry = Cmmm
energy of formation = 51.4 meV per atom

[5]
Al2OsPb | PBE | relaxed

```
Al2OsPb
1.0
3.307 0.000 0.000
0.000 3.307 0.000
0.000 0.000 7.012
Pb Os Al
1 1 2
Direct
0.500 0.500 0.734
0.000 0.000 0.422
0.000 0.000 0.059
0.500 0.500 0.285
```

crystal system = tetragonal
symmetry = P4mm
energy of formation = 191.5 meV per atom

[6]
BeAgW2 | PBE | relaxed

```
BeAgW2
1.0
4.696 -0.004 -0.017
3.932 2.567 -0.017
0.435 0.129 5.062
Be Ag W
1 1 2
Direct
0.254 0.254 0.230
0.500 0.500 0.486
0.995 0.995 0.008
0.751 0.751 0.776
```

crystal system = monoclinic
symmetry = Cm
energy of formation = 556.3 meV per atom